(1)
Compound: LuTiNb2
Source: the Alexandria database
Functional: PBE-GGA
Structure: optimized geometry

Properties
The total moment comes out at 0.00 μB/f.u. For the density, the calculation gives 8.3 g/cm3. The space group is P4/mmm. For the total energy, the calculation gives -7.979 eV/atom.

abc: 3.5356 3.5356 6.5754
angles: 90.00 90.00 90.00
Sites, in units of the cell vectors:
Ti (0.5000, 0.5000, 0.0000)
Nb (0.0000, 0.0000, 0.8017)
Nb (0.0000, 0.0000, 0.1983)
Lu (0.5000, 0.5000, 0.5000)

***

(2)
Compound: Na2CaSnO4
Source: the Alexandria database
Functional: PBE-GGA
Structure: optimized geometry

Properties
The total moment comes out at 0.00 μB/f.u. For the density, the calculation gives 4.2 g/cm3. The space group is P2/m. The value obtained for the uncorrected formation energy is -192.28 kJ per mole of atoms.

abc: 3.3036 5.7905 5.8813
angles: 109.52 90.00 90.00
Sites, in units of the cell vectors:
O (0.5000, 0.7803, 0.7845)
O (0.0000, 0.2276, 0.7925)
O (0.0000, 0.7724, 0.2075)
O (0.5000, 0.2197, 0.2155)
Ca (0.5000, 0.5000, 0.0000)
Na (0.0000, 0.5000, 0.5000)
Na (0.5000, 0.0000, 0.5000)
Sn (0.0000, 0.0000, 0.0000)

***

(3)
Compound: Pm2SmErTm4
Source: the Alexandria database
Functional: PBE-GGA
Structure: optimized geometry

Properties
The total moment comes out at 0.01 μB/f.u. For the density, the calculation gives 8.4 g/cm3. The space group is Pmmm. For the total energy, the calculation gives -4.560 eV/atom.

abc: 5.0409 5.0299 11.1519
angles: 63.19 90.00 90.00
Sites, in units of the cell vectors:
Tm (0.0000, 0.7522, 0.7483)
Tm (0.5000, 0.2520, 0.7485)
Tm (0.5000, 0.7480, 0.2515)
Tm (0.0000, 0.2478, 0.2517)
Pm (0.5000, 0.0000, 0.5000)
Pm (0.0000, 0.0000, 0.0000)
Sm (0.5000, 0.5000, 0.0000)
Er (0.0000, 0.5000, 0.5000)

***

(4)
Compound: Nd3NiI
Source: the Alexandria database
Functional: PBE-GGA
Structure: optimized geometry

Properties
The total moment comes out at 0.00 μB/f.u. For the density, the calculation gives 6.4 g/cm3. The space group is Pmmn. The value obtained for the uncorrected formation energy is -38.00 kJ per mole of atoms.

abc: 3.8851 9.7174 8.5297
angles: 90.00 90.00 90.00
Sites, in units of the cell vectors:
Ni (0.2500, 0.7500, 0.9949)
Ni (0.7500, 0.2500, 0.0051)
Nd (0.7500, 0.5737, 0.8367)
Nd (0.7500, 0.7500, 0.2190)
Nd (0.7500, 0.9263, 0.8367)
Nd (0.2500, 0.0737, 0.1633)
Nd (0.2500, 0.4263, 0.1633)
Nd (0.2500, 0.2500, 0.7810)
I (0.2500, 0.7500, 0.5521)
I (0.7500, 0.2500, 0.4479)

***

(5)
Compound: CdCuRh
Source: the Alexandria database
Functional: PBE-GGA
Structure: optimized geometry

Properties
As for the energy above the most stable polymorph in this dataset: 0.000 eV per atom. The total moment comes out at 0.00 μB/f.u. For the density, the calculation gives 10.0 g/cm3. The space group is I4mm.

abc: 5.3036 5.3008 5.3008
angles: 146.02 146.03 48.80
Sites, in units of the cell vectors:
Cd (0.9966, 0.9964, 0.0002)
Rh (0.6802, 0.6802, 0.0000)
Cu (0.3232, 0.3234, 0.9998)

***

(6)
Compound: Ac2SeBr
Source: the Alexandria database
Functional: PBE-GGA
Structure: optimized geometry

Properties
As for the energy above the most stable polymorph in this dataset: 0.107 eV per atom. The total moment comes out at 0.00 μB/f.u. For the density, the calculation gives 6.5 g/cm3. The space group is R-3m. The value obtained for the uncorrected formation energy is -130.89 kJ per mole of atoms.

abc: 4.2629 4.2629 10.2737
angles: 78.03 78.03 60.00
Sites, in units of the cell vectors:
Br (0.0000, 0.0000, 0.0000)
Ac (0.8992, 0.8992, 0.3025)
Ac (0.1008, 0.1008, 0.6975)
Se (0.5000, 0.5000, 0.5000)

***

(7)
Compound: CaCeCu
Source: the Alexandria database
Functional: PBE-GGA
Structure: optimized geometry

Properties
As for the energy above the most stable polymorph in this dataset: 0.086 eV per atom. The total moment comes out at 1.33 μB/f.u. For the density, the calculation gives 5.0 g/cm3. The space group is I4mm.

abc: 3.4986 3.4986 7.0892
angles: 104.29 104.29 90.00
Sites, in units of the cell vectors:
Ce (0.2978, 0.2978, 0.5955)
Ca (0.0306, 0.0306, 0.0612)
Cu (0.6716, 0.6716, 0.3432)

***

(8)
Compound: ReRhF2
Source: the Alexandria database
Functional: PBE-GGA
Structure: optimized geometry

Properties
As for the energy above the most stable polymorph in this dataset: 0.321 eV per atom. The total moment comes out at 0.00 μB/f.u. For the density, the calculation gives 10.9 g/cm3. The space group is R-3m. The value obtained for the uncorrected formation energy is -25.31 kJ per mole of atoms.

abc: 8.2616 8.2616 8.2616
angles: 18.57 18.57 18.57
Sites, in units of the cell vectors:
F (0.0845, 0.0845, 0.0845)
F (0.9155, 0.9155, 0.9155)
Re (0.5000, 0.5000, 0.5000)
Rh (0.0000, 0.0000, 0.0000)

***

(9)
Compound: LiPrMoN3
Source: the Alexandria database
Functional: PBE-GGA
Structure: optimized geometry

Properties
The total moment comes out at 0.00 μB/f.u. For the density, the calculation gives 5.9 g/cm3. The space group is Cmcm. The value obtained for the uncorrected formation energy is -66.73 kJ per mole of atoms.

abc: 3.3785 6.2072 8.0365
angles: 90.00 90.00 105.79
Sites, in units of the cell vectors:
Li (0.0000, 0.0000, 0.0000)
Li (0.0000, 0.0000, 0.5000)
N (0.0497, 0.0994, 0.7500)
N (0.3558, 0.7117, 0.9293)
N (0.3558, 0.7117, 0.5707)
N (0.9503, 0.9006, 0.2500)
N (0.6442, 0.2883, 0.0707)
N (0.6442, 0.2883, 0.4293)
Pr (0.2903, 0.5806, 0.2500)
Pr (0.7097, 0.4194, 0.7500)
Mo (0.5524, 0.1047, 0.2500)
Mo (0.4476, 0.8953, 0.7500)

***

(10)
Compound: YBe3
Source: the Alexandria database
Functional: PBE-GGA
Structure: optimized geometry

Properties
As for the energy above the most stable polymorph in this dataset: 2.447 eV per atom. The total moment comes out at 0.00 μB/f.u. For the density, the calculation gives 1.1 g/cm3. The space group is Pm-3m.

abc: 5.5579 5.5579 5.5579
angles: 90.00 90.00 90.00
Sites, in units of the cell vectors:
Be (0.5000, 0.0000, 0.0000)
Be (0.0000, 0.0000, 0.5000)
Be (0.0000, 0.5000, 0.0000)
Y (0.0000, 0.0000, 0.0000)

***

(11)
Compound: Y2HoErSc4
Source: the Alexandria database
Functional: PBE-GGA
Structure: optimized geometry

Properties
The total moment comes out at 4.81 μB/f.u. For the density, the calculation gives 4.9 g/cm3. The space group is C2/c. For the total energy, the calculation gives -5.474 eV/atom.

abc: 9.0764 9.0768 11.2725
angles: 128.39 128.38 88.33
Sites, in units of the cell vectors:
Sc (0.7549, 0.7512, 0.5060)
Sc (0.7535, 0.2510, 0.0023)
Sc (0.2465, 0.7490, 0.9977)
Sc (0.2451, 0.2488, 0.4940)
Sc (0.7487, 0.7451, 0.9940)
Sc (0.7510, 0.2535, 0.5022)
Sc (0.2490, 0.7465, 0.4978)
Sc (0.2513, 0.2549, 0.0060)
Y (0.5000, 0.0000, 0.5000)
Y (0.0000, 0.0000, 0.5000)
Y (0.5000, 0.0000, 0.0000)
Y (0.5000, 0.5000, 0.0000)
Ho (0.0000, 0.0000, 0.0000)
Ho (0.5000, 0.5000, 0.5000)
Er (0.0000, 0.5000, 0.5000)
Er (0.0000, 0.5000, 0.0000)

***

(12)
Compound: TmNbSb
Source: the Alexandria database
Functional: PBE-GGA
Structure: optimized geometry

Properties
The total moment comes out at 0.04 μB/f.u. For the density, the calculation gives 9.2 g/cm3. The space group is P4/nmm. The value obtained for the uncorrected formation energy is -33.97 kJ per mole of atoms.

abc: 3.6193 3.6193 10.5891
angles: 90.00 90.00 90.00
Sites, in units of the cell vectors:
Tm (0.5000, 0.0000, 0.3920)
Tm (0.0000, 0.5000, 0.6080)
Nb (0.5000, 0.0000, 0.0712)
Nb (0.0000, 0.5000, 0.9288)
Sb (0.5000, 0.0000, 0.7920)
Sb (0.0000, 0.5000, 0.2080)